Below is FeRu2Se after structural relaxation, with properties calculated at the PBEsol level.

abc: 5.9978 5.9978 5.9978
angles: 90.00 90.00 90.00
Space group F-43m (No. 216)
Unique sites:
Fe (0.0000, 0.0000, 0.0000) [4 per cell]
Ru (0.0000, 0.0000, 0.5000) [4 per cell]
Ru (0.2500, 0.2500, 0.2500) [4 per cell]
Se (0.2500, 0.2500, 0.7500) [4 per cell]

Summary:
uncorrected formation energy: 0.4508 eV/atom
E: -31.36 eV/f.u.
spin magnetization: 10.68 Bohr magnetons per cell
theoretical density: 10.4 g/cm³